## Na4Sm2Br9 (PBE)

Data for an optimized crystal structure of Na4Sm2Br9.

Computed properties:
**Crystal system**: triclinic
**Formation energy without anion corrections**: -1666 meV/atom
**DFT total energy**: -3.6505 eV/atom

abc: 7.530 7.534 20.016
angles: 89.90 89.95 60.04
Element x y z (fractional)
Na (0.165, 0.167, 0.174)
Na (0.166, 0.166, 0.984)
Na (0.167, 0.166, 0.483)
Na (0.168, 0.166, 0.675)
Na (0.832, 0.834, 0.325)
Na (0.833, 0.834, 0.517)
Na (0.834, 0.834, 0.016)
Na (0.835, 0.833, 0.826)
Sm (0.499, 0.502, 0.160)
Sm (0.500, 0.499, 0.340)
Sm (0.500, 0.501, 0.660)
Sm (0.501, 0.498, 0.840)
Br (0.157, 0.525, 0.414)
Br (0.159, 0.817, 0.913)
Br (0.181, 0.477, 0.086)
Br (0.182, 0.844, 0.586)
Br (0.186, 0.500, 0.750)
Br (0.186, 0.815, 0.250)
Br (0.475, 0.184, 0.586)
Br (0.475, 0.844, 0.086)
Br (0.498, 0.187, 0.250)
Br (0.502, 0.813, 0.750)
Br (0.525, 0.156, 0.914)
Br (0.525, 0.816, 0.414)
Br (0.814, 0.185, 0.750)
Br (0.814, 0.500, 0.250)
Br (0.818, 0.156, 0.414)
Br (0.819, 0.523, 0.914)
Br (0.841, 0.183, 0.087)
Br (0.843, 0.475, 0.586)